# 1
The following is a DFT calculation (PBE) of crystalline K2ScTiF at its relaxed geometry.

Properties
As for the calculated density: 1.304 g/cm3. The density of states at the Fermi level comes out at 4.0 states/eV/f.u. The crystal system is tetragonal. Its space group is P4/mmm. As for the total DFT energy (no corrections): -15.81 eV for the cell shown.

Cell: 6.7241 5.3527 6.7241 Å, 90.00 90.00 90.00°
Last column: magnetic moment on the atom in μB.
Atoms (fractional coordinates):
K1 0.0000 0.0000 0.5000  0.04
K2 0.5000 0.0000 0.0000  0.04
Sc1 0.0000 0.5000 0.0000  1.16
F1 0.5000 0.5000 0.5000  0.04
Ti1 0.0000 0.0000 0.0000  2.28

---

# 2
The following is a DFT calculation (PBE) of crystalline KScTlF6 at its relaxed geometry.

Properties
As for the calculated density: 3.915 g/cm3. The density of states at the Fermi level comes out at 3.5 states/eV/f.u. The crystal system is trigonal. Its space group is P312. As for the total DFT energy (no corrections): -47.49 eV for the cell shown.

Cell: 6.0941 6.0940 5.3090 Å, 90.01 89.99 59.98°
Last column: magnetic moment on the atom in μB.
Atoms (fractional coordinates):
F1 0.6062 0.3483 0.7130  0.05
F2 0.3475 0.6066 0.2872  0.05
F3 0.0459 0.3473 0.2873  0.06
F4 0.3481 0.0455 0.7129  0.05
F5 0.0452 0.6066 0.7128  0.05
F6 0.6069 0.0457 0.2874  0.05
K1 0.0000 0.0000 0.9997  0.00
Tl1 0.6666 0.6666 0.4995  0.31
Sc1 0.3333 0.3334 0.5001  0.01

---

# 3
The following is a DFT calculation (PBE) of crystalline K2Sc3TlF12 at its relaxed geometry.

Properties
As for the calculated density: 3.181 g/cm3. The density of states at the Fermi level comes out at 0.0 states/eV/f.u. The crystal system is trigonal. Its space group is R-3m. As for the total DFT energy (no corrections): -108.66 eV for the cell shown.

Cell: 7.7384 7.7384 7.7384 Å, 61.26 61.26 61.26°
Atoms (fractional coordinates):
F1 0.7237 0.7237 0.0965
F2 0.2763 0.2763 0.9035
F3 0.8721 0.8721 0.4428
F4 0.5572 0.1279 0.1279
F5 0.2763 0.9035 0.2763
F6 0.0965 0.7237 0.7237
F7 0.4428 0.8721 0.8721
F8 0.1279 0.5572 0.1279
F9 0.9035 0.2763 0.2763
F10 0.7237 0.0965 0.7237
F11 0.1279 0.1279 0.5572
F12 0.8721 0.4428 0.8721
Tl1 0.0000 0.0000 0.0000
K1 0.3620 0.3620 0.3620
K2 0.6380 0.6380 0.6380
Sc1 0.0000 0.0000 0.5000
Sc2 0.0000 0.5000 0.0000
Sc3 0.5000 0.0000 0.0000

---

The records above give, respectively, ΔE_f (raw) values of 0.50 -2.94 -3.48 eV/atom.